1.
Density functional theory data (PBEsol) for a relaxed LaSi2Ir crystal. Values from VASP.

Formation energy from raw total energies   -0.501 eV per atom
Symmetry   Imm2

Geometry as Quantum ESPRESSO input:
```
&SYSTEM
  ibrav = 0, nat = 4, ntyp = 3
/
ATOMIC_SPECIES
La 138.91 La.upf
Si 28.09 Si.upf
Ir 192.22 Ir.upf
CELL_PARAMETERS angstrom
-0.588 2.086 -2.844
-1.829 -2.833 -1.700
-3.726 2.160 4.603
ATOMIC_POSITIONS crystal
La 0.212 0.712 0.425
Si 0.838 0.338 0.676
Si 0.976 0.976 0.952
Ir 0.473 0.473 0.947
```

=====

2.
Density functional theory data (PBEsol) for a relaxed LaSiIr crystal. Values from VASP.

Formation energy from raw total energies   -0.595 eV per atom
Symmetry   I4mm

Geometry as Quantum ESPRESSO input:
```
&SYSTEM
  ibrav = 0, nat = 3, ntyp = 3
/
ATOMIC_SPECIES
La 138.91 La.upf
Ir 192.22 Ir.upf
Si 28.09 Si.upf
CELL_PARAMETERS angstrom
3.100 0.000 0.000
0.000 3.100 0.000
-1.550 -1.550 5.795
ATOMIC_POSITIONS crystal
La 0.335 0.335 0.669
Ir 0.033 0.033 0.065
Si 0.633 0.633 0.265
```

=====

3.
Density functional theory data (PBEsol) for a relaxed LaSnIr crystal. Values from VASP.

Symmetry   P-62m
DFT formation energy   -824 meV per atom

Geometry as Quantum ESPRESSO input:
```
&SYSTEM
  ibrav = 0, nat = 9, ntyp = 3
/
ATOMIC_SPECIES
La 138.91 La.upf
Ir 192.22 Ir.upf
Sn 118.71 Sn.upf
CELL_PARAMETERS angstrom
-1.623 0.882 -3.775
0.127 -7.216 -1.740
-5.993 2.927 3.260
ATOMIC_POSITIONS crystal
La 0.000 0.417 0.000
La 0.000 0.000 0.417
La 0.000 0.583 0.583
Ir 0.000 0.000 0.000
Ir 0.500 0.333 0.667
Ir 0.500 0.667 0.333
Sn 0.500 0.753 0.000
Sn 0.500 0.247 0.247
Sn 0.500 0.000 0.753
```

=====

4.
Density functional theory data (PBEsol) for a relaxed La2SnIr2 crystal. Values from VASP.

Symmetry   P4/mbm
DFT formation energy   -653 meV per atom

Geometry as Quantum ESPRESSO input:
```
&SYSTEM
  ibrav = 0, nat = 10, ntyp = 3
/
ATOMIC_SPECIES
Sn 118.71 Sn.upf
Ir 192.22 Ir.upf
La 138.91 La.upf
CELL_PARAMETERS angstrom
4.049 0.000 0.000
0.000 7.503 0.000
0.000 0.000 7.503
ATOMIC_POSITIONS crystal
Sn 0.000 0.500 0.500
Sn 0.000 0.000 0.000
Ir 0.000 0.373 0.873
Ir 0.000 0.873 0.627
Ir 0.000 0.627 0.127
Ir 0.000 0.127 0.373
La 0.500 0.677 0.823
La 0.500 0.177 0.677
La 0.500 0.823 0.323
La 0.500 0.323 0.177
```

=====

5.
Density functional theory data (PBEsol) for a relaxed La5Sn10Ir4 crystal. Values from VASP.

Symmetry   P4/mbm
DFT formation energy   -728 meV per atom

Geometry as Quantum ESPRESSO input:
```
&SYSTEM
  ibrav = 0, nat = 38, ntyp = 3
/
ATOMIC_SPECIES
Sn 118.71 Sn.upf
Ir 192.22 Ir.upf
La 138.91 La.upf
CELL_PARAMETERS angstrom
-0.104 1.468 -4.429
8.449 -10.585 -3.707
-11.211 -8.100 -2.422
ATOMIC_POSITIONS crystal
Sn 0.000 0.930 0.570
Sn 0.500 0.663 0.502
Sn 0.000 0.302 0.655
Sn 0.000 0.845 0.198
Sn 0.500 0.998 0.837
Sn 0.000 0.802 0.845
Sn 0.500 0.337 0.498
Sn 0.500 0.163 0.998
Sn 0.000 0.155 0.802
Sn 0.000 0.345 0.302
Sn 0.500 0.502 0.337
Sn 0.500 0.498 0.663
Sn 0.000 0.655 0.698
Sn 0.500 0.002 0.163
Sn 0.000 0.070 0.430
Sn 0.000 0.430 0.930
Sn 0.000 0.698 0.345
Sn 0.500 0.837 0.002
Sn 0.000 0.198 0.155
Sn 0.000 0.570 0.070
Ir 0.000 0.526 0.254
Ir 0.000 0.026 0.246
Ir 0.000 0.474 0.746
Ir 0.000 0.974 0.754
Ir 0.000 0.254 0.474
Ir 0.000 0.754 0.026
Ir 0.000 0.246 0.974
Ir 0.000 0.746 0.526
La 0.500 0.823 0.677
La 0.500 0.677 0.177
La 0.500 0.612 0.888
La 0.500 0.388 0.112
La 0.500 0.177 0.323
La 0.500 0.323 0.823
La 0.000 0.500 0.500
La 0.000 0.000 0.000
La 0.500 0.888 0.388
La 0.500 0.112 0.612
```

=====

6.
Density functional theory data (PBEsol) for a relaxed LaSn2Ir2 crystal. Values from VASP.

Symmetry   I4/mmm
DFT formation energy   -544 meV per atom

Geometry as Quantum ESPRESSO input:
```
&SYSTEM
  ibrav = 0, nat = 5, ntyp = 3
/
ATOMIC_SPECIES
Ir 192.22 Ir.upf
Sn 118.71 Sn.upf
La 138.91 La.upf
CELL_PARAMETERS angstrom
-0.785 -3.210 -2.985
3.817 0.990 -2.068
1.120 -2.466 5.680
ATOMIC_POSITIONS crystal
Ir 0.614 0.614 0.228
Ir 0.386 0.386 0.772
Sn 0.750 0.250 0.500
Sn 0.250 0.750 0.500
La 0.000 0.000 0.000
```

=====

7.
Density functional theory data (PBEsol) for a relaxed La3Sn13Ir4 crystal. Values from VASP.

Symmetry   Pm-3n
DFT formation energy   -590 meV per atom

Geometry as Quantum ESPRESSO input:
```
&SYSTEM
  ibrav = 0, nat = 40, ntyp = 3
/
ATOMIC_SPECIES
Ir 192.22 Ir.upf
Sn 118.71 Sn.upf
La 138.91 La.upf
CELL_PARAMETERS angstrom
9.720 0.000 0.000
0.000 9.720 0.000
0.000 0.000 9.720
ATOMIC_POSITIONS crystal
Ir 0.750 0.250 0.250
Ir 0.250 0.750 0.250
Ir 0.750 0.750 0.250
Ir 0.750 0.750 0.750
Ir 0.750 0.250 0.750
Ir 0.250 0.750 0.750
Ir 0.250 0.250 0.250
Ir 0.250 0.250 0.750
Sn 0.848 0.000 0.306
Sn 0.806 0.500 0.652
Sn 0.000 0.306 0.152
Sn 0.152 0.000 0.306
Sn 0.000 0.694 0.152
Sn 0.306 0.848 0.000
Sn 0.000 0.306 0.848
Sn 0.348 0.806 0.500
Sn 0.694 0.152 0.000
Sn 0.348 0.194 0.500
Sn 0.152 0.000 0.694
Sn 0.652 0.194 0.500
Sn 0.500 0.652 0.194
Sn 0.306 0.152 0.000
Sn 0.500 0.348 0.806
Sn 0.694 0.848 0.000
Sn 0.848 0.000 0.694
Sn 0.000 0.694 0.848
Sn 0.000 0.000 0.000
Sn 0.806 0.500 0.348
Sn 0.500 0.500 0.500
Sn 0.500 0.348 0.194
Sn 0.500 0.652 0.806
Sn 0.194 0.500 0.652
Sn 0.194 0.500 0.348
Sn 0.652 0.806 0.500
La 0.500 0.000 0.250
La 0.000 0.750 0.500
La 0.750 0.500 0.000
La 0.500 0.000 0.750
La 0.000 0.250 0.500
La 0.250 0.500 0.000
```

=====

8.
Density functional theory data (PBEsol) for a relaxed Sr2LaIr crystal. Values from VASP.

Symmetry   Cm
DFT formation energy   -237 meV per atom
Energy relative to the lowest polymorph listed for this composition   0.023 eV/atom

Geometry as Quantum ESPRESSO input:
```
&SYSTEM
  ibrav = 0, nat = 4, ntyp = 3
/
ATOMIC_SPECIES
Sr 87.62 Sr.upf
La 138.91 La.upf
Ir 192.22 Ir.upf
CELL_PARAMETERS angstrom
4.188 0.000 0.000
-2.094 3.633 -0.031
0.000 -2.303 10.181
ATOMIC_POSITIONS crystal
Sr 0.219 0.437 0.658
Sr 0.003 0.006 0.010
La 0.784 0.568 0.351
Ir 0.494 0.988 0.482
```

=====

9.
Density functional theory data (PBEsol) for a relaxed Sr2LaIr crystal. Values from VASP.

Symmetry   P4/mmm
DFT formation energy   144 meV per atom
Energy relative to the lowest polymorph listed for this composition   0.404 eV/atom

Geometry as Quantum ESPRESSO input:
```
&SYSTEM
  ibrav = 0, nat = 4, ntyp = 3
/
ATOMIC_SPECIES
Ir 192.22 Ir.upf
Sr 87.62 Sr.upf
La 138.91 La.upf
CELL_PARAMETERS angstrom
-0.447 3.063 -1.716
0.113 -1.717 -3.093
-10.087 -1.280 0.343
ATOMIC_POSITIONS crystal
Ir 0.500 0.500 0.000
Sr 0.000 0.000 0.172
Sr 0.000 0.000 0.828
La 0.500 0.500 0.500
```

=====

10.
Density functional theory data (PBEsol) for a relaxed SrLaIr2 crystal. Values from VASP.

Symmetry   P4/mmm
DFT formation energy   -161 meV per atom
Energy relative to the lowest polymorph listed for this composition   0.000 eV/atom

Geometry as Quantum ESPRESSO input:
```
&SYSTEM
  ibrav = 0, nat = 4, ntyp = 3
/
ATOMIC_SPECIES
Sr 87.62 Sr.upf
Ir 192.22 Ir.upf
La 138.91 La.upf
CELL_PARAMETERS angstrom
-1.685 -0.351 3.172
2.912 -1.636 1.366
2.486 6.090 1.996
ATOMIC_POSITIONS crystal
Sr 0.500 0.500 0.500
Ir 0.000 0.000 0.222
Ir 0.000 0.000 0.778
La 0.500 0.500 0.000
```

=====

11.
Density functional theory data (PBEsol) for a relaxed SrLaIr4 crystal. Values from VASP.

Symmetry   F-43m
DFT formation energy   -469 meV per atom

Geometry as Quantum ESPRESSO input:
```
&SYSTEM
  ibrav = 0, nat = 6, ntyp = 3
/
ATOMIC_SPECIES
Ir 192.22 Ir.upf
Sr 87.62 Sr.upf
La 138.91 La.upf
CELL_PARAMETERS angstrom
-4.330 3.026 -1.126
-3.347 1.506 3.963
-0.170 5.164 1.575
ATOMIC_POSITIONS crystal
Ir 0.375 0.875 0.375
Ir 0.375 0.375 0.875
Ir 0.375 0.375 0.375
Ir 0.875 0.375 0.375
Sr 0.000 0.000 0.000
La 0.750 0.750 0.750
```

=====

12.
Density functional theory data (PBEsol) for a relaxed SrLaIr crystal. Values from VASP.

Symmetry   P3m1
DFT formation energy   -330 meV per atom

Geometry as Quantum ESPRESSO input:
```
&SYSTEM
  ibrav = 0, nat = 3, ntyp = 3
/
ATOMIC_SPECIES
La 138.91 La.upf
Sr 87.62 Sr.upf
Ir 192.22 Ir.upf
CELL_PARAMETERS angstrom
4.197 0.000 0.000
-2.098 3.635 0.000
0.000 0.000 6.706
ATOMIC_POSITIONS crystal
La 0.333 0.667 0.780
Sr 0.667 0.333 0.243
Ir 0.000 0.000 0.977
```